VASP calculation (PBE) on a relaxed KTc2Hg crystal.

Geometry as extended XYZ:
```
4
Lattice="0.000 3.363 3.363 3.363 0.000 3.363 3.363 3.363 0.000" Properties=species:S:1:pos:R:3 pbc="T T T"
K 0.000 0.000 0.000
Tc 1.682 1.682 1.682
Tc 3.363 3.363 3.363
Hg 5.045 5.045 5.045
```

- ΔE_f (eV per atom) = 1.254
- E (eV per atom) = -4.279

***

VASP calculation (PBE) on a relaxed Li2Er2Pd7 crystal.

Geometry as extended XYZ:
```
11
Lattice="4.409 -3.529 0.000 4.409 3.529 0.000 -2.289 0.000 6.525" Properties=species:S:1:pos:R:3 pbc="T T T"
Li 4.409 2.274 0.000
Li 4.409 -2.274 0.000
Er 1.558 0.000 2.987
Er 4.972 0.000 3.538
Pd -1.144 0.000 3.263
Pd 0.150 1.350 5.243
Pd 0.150 -1.350 5.243
Pd 3.669 0.000 1.128
Pd 2.861 0.000 5.397
Pd 6.380 1.350 1.282
Pd 6.380 -1.350 1.282
```

- ΔE_f (eV per atom) = -0.435
- E (eV per atom) = -4.917

***

VASP calculation (PBE) on a relaxed Ac5PmIn6 crystal.

Geometry as extended XYZ:
```
12
Lattice="8.913 -3.870 0.000 8.913 3.870 0.000 -1.129 0.000 5.804" Properties=species:S:1:pos:R:3 pbc="T T T"
Ac 0.000 0.000 0.000
Ac 2.123 0.000 3.886
Ac 5.426 0.000 1.797
Ac 11.271 0.000 4.007
Ac 14.574 0.000 1.918
Pm 8.913 0.000 0.000
In 5.144 1.798 4.760
In 8.348 1.696 2.902
In 11.553 1.798 1.045
In 5.144 -1.798 4.760
In 8.348 -1.696 2.902
In 11.553 -1.798 1.045
```

- ΔE_f (eV per atom) = -0.423
- E (eV per atom) = -3.900

***

VASP calculation (PBE) on a relaxed RbTbCdF6 crystal.

Geometry as extended XYZ:
```
18
Lattice="-4.009 4.192 5.934 4.009 -4.192 5.934 4.009 4.192 -5.934" Properties=species:S:1:pos:R:3 pbc="T T T"
Rb 0.000 2.096 0.655
Rb 4.009 2.096 5.279
Tb 4.009 0.000 0.000
Tb 0.000 0.000 5.934
Cd 2.004 2.096 -2.967
Cd 2.004 -2.096 2.967
F 2.384 -0.483 1.387
F 5.634 -0.483 1.387
F 4.009 -2.096 3.868
F 4.009 2.096 0.732
F 2.384 3.709 -1.387
F 1.625 -0.483 4.547
F 2.384 4.675 1.387
F 1.625 0.483 7.322
F 0.000 2.096 5.202
F 0.000 6.288 2.066
F -1.625 4.675 4.547
F 1.625 4.675 4.547
```

- ΔE_f (raw) (eV/atom) = -3.151
- E (eV per atom) = -5.122